No. 1
First-principles (GGA-PBE) data for crystalline KInRh at its relaxed geometry, as listed in the Alexandria database.

Lattice parameters (Å, degrees): 3.377 3.377 7.529 90.00 90.00 120.00
Element x y z (fractional)
K: 0.000 0.000 0.000
In: 0.667 0.333 0.585
Rh: 0.333 0.667 0.338

## Properties
The crystal system is trigonal. The value obtained for the formation energy is 0.28 eV per atom.

=====

No. 2
First-principles (GGA-PBE) data for crystalline KTlCd2Cl6 at its relaxed geometry, as listed in the Alexandria database.

Lattice parameters (Å, degrees): 9.831 9.831 7.442 97.08 97.08 86.32
Element x y z (fractional)
K: 0.202 0.798 0.750
K: 0.798 0.202 0.250
Tl: 0.405 0.595 0.250
Tl: 0.595 0.405 0.750
Cd: 0.116 0.300 0.774
Cd: 0.300 0.116 0.274
Cd: 0.700 0.884 0.726
Cd: 0.884 0.700 0.226
Cl: 0.088 0.199 0.070
Cl: 0.111 0.632 0.375
Cl: 0.199 0.088 0.570
Cl: 0.280 0.483 0.842
Cl: 0.368 0.889 0.125
Cl: 0.483 0.280 0.342
Cl: 0.517 0.720 0.658
Cl: 0.632 0.111 0.875
Cl: 0.720 0.517 0.158
Cl: 0.801 0.912 0.430
Cl: 0.889 0.368 0.625
Cl: 0.912 0.801 0.930

## Properties
The value obtained for the uncorrected formation energy is -1.244 eV per atom. The crystal system is monoclinic.

=====

No. 3
First-principles (GGA-PBE) data for crystalline Tb2PmOsN4 at its relaxed geometry, as listed in the Alexandria database.

Lattice parameters (Å, degrees): 6.117 6.117 11.738 90.00 90.00 147.37
Element x y z (fractional)
Tb: 0.131 0.869 0.541
Tb: 0.131 0.869 0.959
Tb: 0.869 0.131 0.041
Tb: 0.869 0.131 0.459
Pm: 0.378 0.622 0.750
Pm: 0.622 0.378 0.250
Os: 0.358 0.642 0.250
Os: 0.642 0.358 0.750
N: 0.058 0.942 0.750
N: 0.232 0.768 0.130
N: 0.232 0.768 0.370
N: 0.500 0.500 0.000
N: 0.500 0.500 0.500
N: 0.768 0.232 0.630
N: 0.768 0.232 0.870
N: 0.942 0.058 0.250

## Properties
The value obtained for the uncorrected formation energy is -0.941 eV per atom. The crystal system is orthorhombic.

=====

No. 4
First-principles (GGA-PBE) data for crystalline Re2AgIr at its relaxed geometry, as listed in the Alexandria database.

Lattice parameters (Å, degrees): 3.866 3.866 4.083 90.00 90.00 90.00
Element x y z (fractional)
Re: 0.000 0.500 0.000
Re: 0.500 0.000 0.000
Ag: 0.000 0.000 0.500
Ir: 0.500 0.500 0.500

## Properties
The energy above the most stable polymorph in this dataset is 1.499 eV/f.u. The crystal system is tetragonal. The value obtained for the formation energy is 0.56 eV per atom.

=====

No. 5
First-principles (GGA-PBE) data for crystalline CaMoP at its relaxed geometry, as listed in the Alexandria database.

Lattice parameters (Å, degrees): 4.364 4.364 4.364 60.00 60.00 60.00
Element x y z (fractional)
Ca: 0.000 0.000 0.000
Mo: 0.500 0.500 0.500
P: 0.750 0.750 0.750

## Properties
The energy above the most stable polymorph in this dataset is 1.881 eV/f.u. The crystal system is cubic. The value obtained for the formation energy is 0.03 eV per atom.

=====

No. 6
First-principles (GGA-PBE) data for crystalline LiAuSe2 at its relaxed geometry, as listed in the Alexandria database.

Lattice parameters (Å, degrees): 2.828 3.813 7.059 90.00 90.00 90.00
Element x y z (fractional)
Li: 0.000 0.000 0.000
Au: 0.000 0.000 0.500
Se: 0.500 0.500 0.227
Se: 0.500 0.500 0.773

## Properties
The value obtained for the uncorrected formation energy is -0.149 eV per atom. The crystal system is orthorhombic.

=====

No. 7
First-principles (GGA-PBE) data for crystalline Sr2CuBi4Rh3 at its relaxed geometry, as listed in the Alexandria database.

Lattice parameters (Å, degrees): 4.802 4.802 10.847 90.00 90.00 90.00
Element x y z (fractional)
Sr: 0.000 0.500 0.240
Sr: 0.500 0.000 0.760
Cu: 0.500 0.500 0.000
Bi: 0.000 0.000 0.500
Bi: 0.000 0.500 0.875
Bi: 0.500 0.000 0.125
Bi: 0.500 0.500 0.500
Rh: 0.000 0.000 0.000
Rh: 0.000 0.500 0.626
Rh: 0.500 0.000 0.374

## Properties
The crystal system is tetragonal. The value obtained for the formation energy is -0.37 eV per atom.

=====

No. 8
First-principles (GGA-PBE) data for crystalline SmPu3As4 at its relaxed geometry, as listed in the Alexandria database.

Lattice parameters (Å, degrees): 7.189 7.189 4.157 90.00 90.00 109.51
Element x y z (fractional)
Sm: 0.000 0.000 0.000
Pu: 0.000 0.500 0.500
Pu: 0.500 0.000 0.500
Pu: 0.500 0.500 0.000
As: 0.252 0.748 0.000
As: 0.255 0.255 0.500
As: 0.745 0.745 0.500
As: 0.748 0.252 0.000

## Properties
The energy above the most stable polymorph in this dataset is 0.251 eV/f.u. The crystal system is orthorhombic. The value obtained for the formation energy is -1.11 eV per atom.

=====

No. 9
First-principles (GGA-PBE) data for crystalline PuThCd2 at its relaxed geometry, as listed in the Alexandria database.

Lattice parameters (Å, degrees): 5.397 5.397 5.397 60.00 60.00 60.00
Element x y z (fractional)
Pu: 0.000 0.000 0.000
Th: 0.500 0.500 0.500
Cd: 0.250 0.250 0.250
Cd: 0.750 0.750 0.750

## Properties
The energy above the most stable polymorph in this dataset is 0.247 eV/f.u. The crystal system is cubic. The value obtained for the formation energy is 0.02 eV per atom.

=====

No. 10
First-principles (GGA-PBE) data for crystalline WAu at its relaxed geometry, as listed in the Alexandria database.

Lattice parameters (Å, degrees): 7.154 7.154 7.154 90.00 90.00 90.00
Element x y z (fractional)
W: 0.000 0.250 0.500
W: 0.000 0.750 0.500
W: 0.250 0.500 0.000
W: 0.500 0.000 0.250
W: 0.500 0.000 0.750
W: 0.750 0.500 0.000
Au: 0.000 0.500 0.250
Au: 0.000 0.500 0.750
Au: 0.250 0.000 0.500
Au: 0.500 0.250 0.000
Au: 0.500 0.750 0.000
Au: 0.750 0.000 0.500

## Properties
The energy above the most stable polymorph in this dataset is 3.718 eV/f.u. The crystal system is cubic. The value obtained for the formation energy is 2.11 eV per atom.

=====

No. 11
First-principles (GGA-PBE) data for crystalline Li3NpCd2O6 at its relaxed geometry, as listed in the Alexandria database.

Lattice parameters (Å, degrees): 5.671 5.671 5.509 100.03 100.03 119.96
Element x y z (fractional)
Li: 0.000 0.000 0.000
Li: 0.333 0.667 0.000
Li: 0.667 0.333 0.000
Np: 0.500 0.500 0.500
Cd: 0.168 0.832 0.500
Cd: 0.832 0.168 0.500
O: 0.107 0.415 0.246
O: 0.276 0.276 0.744
O: 0.415 0.107 0.246
O: 0.585 0.893 0.754
O: 0.724 0.724 0.256
O: 0.893 0.585 0.754

## Properties
The value obtained for the uncorrected formation energy is -1.902 eV per atom. The crystal system is monoclinic.

=====

No. 12
First-principles (GGA-PBE) data for crystalline BeAl2 at its relaxed geometry, as listed in the Alexandria database.

Lattice parameters (Å, degrees): 11.434 11.434 11.434 166.09 166.09 19.72
Element x y z (fractional)
Be: 0.375 0.625 0.750
Be: 0.625 0.375 0.250
Al: 0.053 0.803 0.250
Al: 0.197 0.947 0.250
Al: 0.803 0.053 0.750
Al: 0.947 0.197 0.750

## Properties
The crystal system is tetragonal. The value obtained for the formation energy is 0.16 eV per atom.

=====

| no. | DFT total energy (eV per atom) |
| --- | --- |
| 1 | -3.4522 |
| 2 | -2.8818 |
| 3 | -8.2583 |
| 4 | -8.5946 |
| 5 | -6.0496 |
| 6 | -3.1896 |
| 7 | -4.8751 |
| 8 | -9.3963 |
| 9 | -5.8767 |
| 10 | -6.0066 |
| 11 | -6.0903 |
| 12 | -3.5798 |